Material: NiP2RhS
Method: DFT, PBE
State: optimized geometry

```
5
Lattice="4.099 0.000 0.000 0.000 4.099 0.000 0.000 0.000 5.031" Properties=species:S:1:pos:R:3 pbc="T T T"
Ni 0.000 0.000 0.000
P 0.000 2.050 0.000
P 2.050 0.000 0.000
Rh 0.000 0.000 2.516
S 2.050 2.050 2.516
```

Values from the calculation:
The calculation puts the total energy at -4.897 eV per atom. For the uncorrected formation energy, the calculation gives 719 meV per atom. The crystal system is tetragonal.



Material: NdSbI
Method: DFT, PBE
State: optimized geometry

```
6
Lattice="4.155 0.000 0.000 0.000 4.155 0.000 0.000 0.000 10.643" Properties=species:S:1:pos:R:3 pbc="T T T"
Nd 0.000 0.000 0.000
Nd 2.078 2.078 5.322
Sb 0.000 0.000 6.859
Sb 2.078 2.078 1.538
I 0.000 0.000 3.540
I 2.078 2.078 8.861
```

Values from the calculation:
The calculation puts the total energy at -4.206 eV per atom. For the uncorrected formation energy, the calculation gives -726 meV per atom. The crystal system is tetragonal.



Material: ScBr2F
Method: DFT, PBE
State: optimized geometry

```
4
Lattice="3.835 0.000 0.000 0.000 4.073 0.000 1.909 0.121 7.590" Properties=species:S:1:pos:R:3 pbc="T T T"
Sc 0.000 0.000 0.000
Br 1.916 4.073 1.861
Br 3.827 0.121 5.729
F 0.000 2.036 0.000
```

Values from the calculation:
The calculation puts the total energy at -5.348 eV per atom. For the uncorrected formation energy, the calculation gives -2461 meV per atom. The crystal system is triclinic.



- Which formula does entry 1 have?
  NiP2RhS